(1)
Crystalline CsHf3Mg at its relaxed geometry, computed with PBE.

Computed properties:
* symmetry: Pm-3m (221)
* calculated density: 7.87 g cm⁻³
* ΔE to the lowest computed polymorph: 2.67 eV/f.u.
* E: -4.31 eV/atom
* crystal system: cubic
* formation energy: 2.1533 eV per atom

The structure in extended XYZ format:
```
5
Lattice="5.267 0.000 0.000 0.000 5.267 0.000 0.000 0.000 5.267" Properties=species:S:1:pos:R:3 pbc="T T T"
Cs 0.000 0.000 0.000
Hf 0.000 0.000 2.634
Hf 0.000 2.634 0.000
Hf 2.634 0.000 0.000
Mg 2.634 2.634 2.634
```



(2)
Crystalline InFePW2 at its relaxed geometry, computed with PBE.

Computed properties:
* symmetry: P4/mmm (123)
* calculated density: 8.04 g cm⁻³
* E: -5.60 eV/atom
* crystal system: tetragonal
* formation energy: 2.9050 eV per atom

The structure in extended XYZ format:
```
5
Lattice="5.005 0.000 0.000 0.000 5.005 0.000 0.000 0.000 4.694" Properties=species:S:1:pos:R:3 pbc="T T T"
In 0.000 0.000 0.000
Fe 2.503 2.503 2.347
P 0.000 0.000 2.347
W 0.000 2.503 0.000
W 2.503 0.000 0.000
```



(3)
Crystalline Rb2U3SnS8 at its relaxed geometry, computed with PBE.

Computed properties:
* symmetry: R3m (160)
* calculated density: 4.55 g cm⁻³
* ΔE_f (raw): -1.22 eV/atom
* E: -6.43 eV/atom
* crystal system: trigonal

The structure in extended XYZ format:
```
14
Lattice="4.048 2.337 8.099 -4.048 2.337 8.099 0.000 -4.674 8.099" Properties=species:S:1:pos:R:3 pbc="T T T"
Rb 0.000 0.000 0.000
Rb 0.000 0.000 8.764
U 0.000 -2.364 12.866
U -2.047 1.182 12.866
U 2.047 1.182 12.866
Sn 0.000 0.000 18.380
S 0.000 -2.125 6.173
S -1.840 1.062 6.173
S 0.000 0.000 3.306
S -1.971 -1.138 11.365
S 1.840 1.062 6.173
S 0.000 0.000 14.209
S 1.971 -1.138 11.365
S 0.000 2.276 11.365
```



(4)
Crystalline Zn2AsAu at its relaxed geometry, computed with PBE.

Computed properties:
* symmetry: Cmm2 (35)
* calculated density: 9.72 g cm⁻³
* E: -2.53 eV/atom
* crystal system: orthorhombic
* formation energy: 0.0926 eV per atom

The structure in extended XYZ format:
```
4
Lattice="1.914 -2.084 0.000 1.914 2.084 0.000 0.000 0.000 8.623" Properties=species:S:1:pos:R:3 pbc="T T T"
Zn 0.000 0.000 0.000
Zn 1.914 0.000 1.919
As 1.914 0.000 6.458
Au 0.000 0.000 3.896
```